(1)
Crystalline La3Si4Rh2 at its relaxed geometry, computed with PBE.

The energy above the most stable polymorph in this dataset comes out at 0.000 eV/atom. The calculation puts the total moment at 0.00 Bohr magnetons per cell. The value obtained for the uncorrected formation energy is -0.9030 eV per atom.

It has space group C2/m (No. 12), with a = 11.556 Å, b = 4.081 Å, c = 8.457 Å, α = 90.00°, β = 99.84° and γ = 90.00°. The inequivalent atoms are La at (0.000, 0.000, 0.000), La at (0.169, 0.500, 0.662), Si at (0.047, 0.000, 0.384), Si at (0.227, 0.500, 0.067) and Rh at (0.105, 0.500, 0.274).



(2)
Crystalline LaSi2Rh at its relaxed geometry, computed with PBE.

The calculation puts the total moment at 0.00 Bohr magnetons per cell. The value obtained for the uncorrected formation energy is -0.9222 eV per atom.

It has space group C2/m (No. 12), with a = 7.066 Å, b = 4.173 Å, c = 5.809 Å, α = 90.00°, β = 114.78° and γ = 90.00°. The inequivalent atoms are La at (0.000, 0.000, 0.000), Si at (0.205, 0.000, 0.622) and Rh at (0.000, 0.500, 0.500).



(3)
Crystalline La2SiRh at its relaxed geometry, computed with PBE.

The calculation puts the total moment at 0.00 Bohr magnetons per cell. The value obtained for the uncorrected formation energy is -0.3572 eV per atom.

It has space group F-43m (No. 216), with a = 7.038 Å, b = 7.038 Å, c = 7.038 Å, α = 90.00°, β = 90.00° and γ = 90.00°. The inequivalent atoms are La at (0.000, 0.000, 0.000), La at (0.250, 0.250, 0.250), Si at (0.250, 0.250, 0.750) and Rh at (0.000, 0.000, 0.500).



(4)
Crystalline LaSiRh at its relaxed geometry, computed with PBE.

The calculation puts the total moment at 0.00 Bohr magnetons per cell. The value obtained for the uncorrected formation energy is -0.8988 eV per atom.

It has space group P-6m2 (No. 187), with a = 4.1810 Å, b = 4.1810 Å, c = 4.3416 Å, α = 90.00°, β = 90.00° and γ = 120.00°. The inequivalent atoms are La at (0.0000, 0.0000, 0.0000), Si at (0.3333, 0.6667, 0.5000) and Rh at (0.6667, 0.3333, 0.5000).



(5)
Crystalline La3Si4Rh2 at its relaxed geometry, computed with PBE.

The energy above the most stable polymorph in this dataset comes out at 0.008 eV/atom. The calculation puts the total moment at 0.00 Bohr magnetons per cell. The value obtained for the uncorrected formation energy is -0.8946 eV per atom.

It has space group C2/m (No. 12), with a = 11.681 Å, b = 4.165 Å, c = 8.332 Å, α = 90.00°, β = 109.57° and γ = 90.00°. The inequivalent atoms are La at (0.000, 0.000, 0.000), La at (0.104, 0.500, 0.686), Si at (0.115, 0.000, 0.396), Si at (0.222, 0.500, 0.073) and Rh at (0.200, 0.500, 0.358).



(6)
Crystalline La2SiRh at its relaxed geometry, computed with PBE.

The calculation puts the total moment at 0.00 Bohr magnetons per cell. The value obtained for the uncorrected formation energy is -0.6852 eV per atom.

It has space group Imm2 (No. 44), with a = 3.742 Å, b = 4.528 Å, c = 11.593 Å, α = 90.00°, β = 90.00° and γ = 90.00°. The inequivalent atoms are La at (0.000, 0.000, 0.000), La at (0.000, 0.500, 0.222), Si at (0.000, 0.500, 0.813) and Rh at (0.000, 0.000, 0.451).



(7)
Crystalline La2SiRh at its relaxed geometry, computed with PBE.

The calculation puts the total moment at 0.00 Bohr magnetons per cell. The value obtained for the uncorrected formation energy is -0.4019 eV per atom.

It has space group P4mm (No. 99), with a = 3.301 Å, b = 3.301 Å, c = 8.850 Å, α = 90.00°, β = 90.00° and γ = 90.00°. The inequivalent atoms are La at (0.000, 0.000, 0.000), La at (0.500, 0.500, 0.393), Si at (0.500, 0.500, 0.753) and Rh at (0.000, 0.000, 0.640).



(8)
Crystalline LaSi2Rh at its relaxed geometry, computed with PBE.

The calculation puts the total moment at 0.00 Bohr magnetons per cell. The value obtained for the uncorrected formation energy is -0.6399 eV per atom.

It has space group I-42d (No. 122), with a = 4.755 Å, b = 4.755 Å, c = 16.005 Å, α = 90.00°, β = 90.00° and γ = 90.00°. The inequivalent atoms are La at (0.000, 0.000, 0.000), Si at (0.002, 0.250, 0.625) and Rh at (0.000, 0.000, 0.500).



(9)
Crystalline LaSi2Rh2 at its relaxed geometry, computed with PBE.

The calculation puts the total moment at 0.00 Bohr magnetons per cell. The value obtained for the uncorrected formation energy is -0.5041 eV per atom.

It has space group P4/mbm (No. 127), with a = 7.670 Å, b = 7.670 Å, c = 2.874 Å, α = 90.00°, β = 90.00° and γ = 90.00°. The inequivalent atoms are La at (0.000, 0.000, 0.000), Si at (0.136, 0.364, 0.000) and Rh at (0.138, 0.638, 0.500).



(10)
Crystalline LaSi2Rh2 at its relaxed geometry, computed with PBE.

The calculation puts the total moment at 0.00 Bohr magnetons per cell. The value obtained for the uncorrected formation energy is -0.8844 eV per atom.

It has space group C2/c (No. 15), with a = 5.746 Å, b = 10.303 Å, c = 6.913 Å, α = 90.00°, β = 114.42° and γ = 90.00°. The inequivalent atoms are La at (0.000, 0.125, 0.250), Si at (0.109, 0.374, 0.968), Rh at (0.000, 0.183, 0.750) and Rh at (0.000, 0.434, 0.250).



(11)
Crystalline La2Si2Rh5 at its relaxed geometry, computed with PBE.

The calculation puts the total moment at 0.00 Bohr magnetons per cell. The value obtained for the uncorrected formation energy is -0.8514 eV per atom.

It has space group P4/mmm (No. 123), with a = 4.204 Å, b = 4.204 Å, c = 9.072 Å, α = 90.00°, β = 90.00° and γ = 90.00°. The inequivalent atoms are La at (0.000, 0.000, 0.000), La at (0.000, 0.000, 0.500), Si at (0.500, 0.500, 0.145), Rh at (0.000, 0.500, 0.263) and Rh at (0.500, 0.500, 0.500).



(12)
Crystalline LaSi2Rh at its relaxed geometry, computed with PBE.

The calculation puts the total moment at 0.00 Bohr magnetons per cell. The value obtained for the uncorrected formation energy is -0.2161 eV per atom.

It has space group I-4m2 (No. 119), with a = 4.748 Å, b = 4.748 Å, c = 6.686 Å, α = 90.00°, β = 90.00° and γ = 90.00°. The inequivalent atoms are La at (0.000, 0.000, 0.000), Si at (0.000, 0.000, 0.500), Si at (0.000, 0.500, 0.250) and Rh at (0.000, 0.500, 0.750).



(13)
Crystalline LaSi2Rh at its relaxed geometry, computed with PBE.

The calculation puts the total moment at 0.00 Bohr magnetons per cell. The value obtained for the uncorrected formation energy is -0.8585 eV per atom.

It has space group Immm (No. 71), with a = 4.371 Å, b = 8.826 Å, c = 16.022 Å, α = 90.00°, β = 90.00° and γ = 90.00°. The inequivalent atoms are La at (0.000, 0.000, 0.207), La at (0.000, 0.242, 0.000), Si at (0.000, 0.000, 0.422), Si at (0.000, 0.351, 0.195), Si at (0.000, 0.500, 0.425) and Rh at (0.000, 0.245, 0.352).



(14)
Crystalline La3Si2Rh3 at its relaxed geometry, computed with PBE.

The calculation puts the total moment at 0.00 Bohr magnetons per cell. The value obtained for the uncorrected formation energy is -0.9474 eV per atom.

It has space group Pnma (No. 62), with a = 7.851 Å, b = 15.041 Å, c = 5.890 Å, α = 90.00°, β = 90.00° and γ = 90.00°. The inequivalent atoms are La at (0.024, 0.108, 0.146), La at (0.160, 0.250, 0.620), Si at (0.130, 0.596, 0.361), Rh at (0.158, 0.037, 0.603) and Rh at (0.183, 0.750, 0.557).



(15)
Crystalline LaSiRh3 at its relaxed geometry, computed with PBE.

The energy above the most stable polymorph in this dataset comes out at 0.000 eV/atom. The calculation puts the total moment at 0.00 Bohr magnetons per cell. The value obtained for the uncorrected formation energy is -0.6907 eV per atom.

It has space group Pm-3m (No. 221), with a = 4.531 Å, b = 4.531 Å, c = 4.531 Å, α = 90.00°, β = 90.00° and γ = 90.00°. The inequivalent atoms are La at (0.000, 0.000, 0.000), Si at (0.500, 0.500, 0.500) and Rh at (0.000, 0.500, 0.500).



(16)
Crystalline LaSi2Rh at its relaxed geometry, computed with PBE.

The calculation puts the total moment at 0.00 Bohr magnetons per cell. The value obtained for the uncorrected formation energy is -0.5086 eV per atom.

It has space group P4/mmm (No. 123), with a = 3.212 Å, b = 3.212 Å, c = 6.984 Å, α = 90.00°, β = 90.00° and γ = 90.00°. The inequivalent atoms are La at (0.000, 0.000, 0.000), Si at (0.500, 0.500, 0.315) and Rh at (0.000, 0.000, 0.500).



(17)
Crystalline La2SiRh2 at its relaxed geometry, computed with PBE.

The calculation puts the total moment at 0.00 Bohr magnetons per cell. The value obtained for the uncorrected formation energy is -0.6921 eV per atom.

It has space group P4/mbm (No. 127), with a = 7.158 Å, b = 7.158 Å, c = 4.221 Å, α = 90.00°, β = 90.00° and γ = 90.00°. The inequivalent atoms are La at (0.176, 0.324, 0.000), Si at (0.000, 0.000, 0.500) and Rh at (0.142, 0.642, 0.500).



(18)
Crystalline La3Si8Rh3 at its relaxed geometry, computed with PBE.

The calculation puts the total moment at 0.00 Bohr magnetons per cell. The value obtained for the uncorrected formation energy is -0.6312 eV per atom.

It has space group Immm (No. 71), with a = 4.134 Å, b = 10.205 Å, c = 11.972 Å, α = 90.00°, β = 90.00° and γ = 90.00°. The inequivalent atoms are La at (0.000, 0.000, 0.000), La at (0.000, 0.000, 0.305), Si at (0.000, 0.289, 0.122), Si at (0.000, 0.351, 0.337), Rh at (0.000, 0.212, 0.500) and Rh at (0.000, 0.500, 0.000).



(19)
Crystalline LaSi2Rh at its relaxed geometry, computed with PBE.

The calculation puts the total moment at 0.00 Bohr magnetons per cell. The value obtained for the uncorrected formation energy is -0.7180 eV per atom.

It has space group P2/m (No. 10), with a = 4.513 Å, b = 4.223 Å, c = 4.578 Å, α = 90.00°, β = 104.21° and γ = 90.00°. The inequivalent atoms are La at (0.000, 0.000, 0.000), Si at (0.408, 0.500, 0.734) and Rh at (0.500, 0.000, 0.500).



(20)
Crystalline La4SiRh3 at its relaxed geometry, computed with PBE.

The calculation puts the total moment at 0.00 Bohr magnetons per cell. The value obtained for the uncorrected formation energy is -0.7506 eV per atom.

It has space group Pmm2 (No. 25), with a = 4.190 Å, b = 4.293 Å, c = 10.910 Å, α = 90.00°, β = 90.00° and γ = 90.00°. The inequivalent atoms are La at (0.000, 0.000, 0.000), La at (0.000, 0.500, 0.273), La at (0.500, 0.000, 0.491), La at (0.500, 0.500, 0.778), Si at (0.000, 0.000, 0.698), Rh at (0.000, 0.500, 0.571), Rh at (0.500, 0.000, 0.228) and Rh at (0.500, 0.500, 0.040).



What did we get for electronic total energy? Answer: -0.4843; -0.4927; -0.4421; -0.4998; -0.4837; -0.4662; -0.4453; -0.4719; -0.4850; -0.5130; -0.5318; -0.4408; -0.4880; -0.5077; -0.5271; -0.4623; -0.4916; -0.4675; -0.4777; -0.4887 Ry per atom, in the order shown.